Density functional theory data (PBE) for crystalline CaPrHo4S8 at its relaxed geometry.

Results
calculated total energy = -85.9 eV per cell

Cell lengths 8.0803, 8.0803, 8.1672 Å; angles 60.35, 60.35, 60.00 degrees
With the nearest neighbours (Å) after each atom.
Positions (direct):
Ca 0.3739 0.3739 0.8784  4 S 2.68-2.71
Pr 0.0016 0.0016 0.9952  6 S 2.83-2.90
Ho 0.6256 0.6256 0.1231  4 S 2.61-2.67
Ho 0.0018 0.4942 0.5022  6 S 2.70-2.80
Ho 0.4942 0.0018 0.5022  6 S 2.70-2.80
Ho 0.0018 0.0018 0.5022  6 S 2.70-2.80
S 0.2470 0.7788 0.7273  1 Ca 2.68, 2 Ho 2.70, 1 Pr 2.83
S 0.7788 0.2470 0.7273  1 Ca 2.68, 2 Ho 2.70, 1 Pr 2.83
S 0.2470 0.2470 0.7273  1 Ca 2.68, 2 Ho 2.70, 1 Pr 2.83
S 0.2389 0.2389 0.2832  1 Ca 2.71, 3 Ho 2.73
S 0.7502 0.2309 0.2687  3 Ho 2.61-2.79, 1 Pr 2.90
S 0.2309 0.7502 0.2687  3 Ho 2.61-2.79, 1 Pr 2.90
S 0.7502 0.7502 0.2687  3 Ho 2.61-2.79, 1 Pr 2.90
S 0.7582 0.7582 0.7255  4 Ho 2.67-2.80